Material: LiAuC2
Method: DFT, GGA-PBE
State: relaxed

Lattice parameters (Å, degrees): 3.861 3.861 5.246 90.00 90.00 120.00
Element x y z (fractional)
C1 0.667 0.333 0.381
C2 0.667 0.333 0.619
Au1 0.667 0.333 0.000
Li1 0.000 0.000 0.500

Computed properties:
ρ: 5.59 g cm⁻³
E_tot: -5.6777 eV per atom
excess energy over the best structure of this formula in the dataset: 0 meV per atom

Material: Li2AuCN
Method: DFT, GGA-PBE
State: relaxed

Lattice parameters (Å, degrees): 5.080 3.746 5.080 90.00 90.00 90.00
Last column: magnetic moment on the atom in μB.
Element x y z (fractional)
Au1 0.000 0.000 0.000  -0.01
Li1 0.000 0.000 0.500  0.01
Li2 0.500 0.000 0.000  0.01
C1 0.500 0.500 0.500  1.03
N1 0.000 0.500 0.000  0.03

Computed properties:
raw formation energy: 701 kJ/mol of formula units
ρ: 4.07 g cm⁻³
E_tot: -3.4771 eV per atom

Material: LiNi2AuC
Method: DFT, GGA-PBE
State: relaxed

Lattice parameters (Å, degrees): 3.719 3.719 4.181 90.00 90.00 90.00
Element x y z (fractional)
Li1 0.000 0.000 0.500
Ni1 0.500 0.000 0.000
Ni2 0.000 0.500 0.000
C1 0.000 0.000 0.000
Au1 0.500 0.500 0.500

Computed properties:
ρ: 9.57 g cm⁻³
E_tot: -5.1914 eV per atom

Material: LiAuCO2
Method: DFT, GGA-PBE
State: relaxed

Lattice parameters (Å, degrees): 3.593 4.131 3.593 90.00 90.00 90.00
Element x y z (fractional)
O1 0.000 0.000 0.500
O2 0.500 0.000 0.000
Au1 0.500 0.500 0.500
Li1 0.000 0.500 0.000
C1 0.000 0.000 0.000

Computed properties:
raw formation energy: 498 kJ/mol of formula units
ρ: 7.72 g cm⁻³
E_tot: -3.8349 eV per atom

Material: LiPAu2C
Method: DFT, GGA-PBE
State: relaxed

Lattice parameters (Å, degrees): 4.667 4.827 4.667 90.00 90.00 90.00
Last column: magnetic moment on the atom in μB.
Element x y z (fractional)
Au1 0.000 0.000 0.500  0.04
Au2 0.500 0.000 0.000  0.01
C1 0.500 0.500 0.500  0.91
Li1 0.000 0.500 0.000  0.00
P1 0.000 0.000 0.000  0.03

Computed properties:
ρ: 7.01 g cm⁻³
E_tot: -3.3540 eV per atom

Material: LiAuCS2
Method: DFT, GGA-PBE
State: relaxed

Lattice parameters (Å, degrees): 4.513 3.729 4.513 90.00 90.00 90.00
Element x y z (fractional)
Li1 0.000 0.000 0.000
Au1 0.500 0.500 0.500
C1 0.000 0.500 0.000
S1 0.000 0.000 0.500
S2 0.500 0.000 0.000

Computed properties:
raw formation energy: 695 kJ/mol of formula units
ρ: 6.12 g cm⁻³
E_tot: -3.0944 eV per atom

Material: LiSc2AuC
Method: DFT, GGA-PBE
State: relaxed

Lattice parameters (Å, degrees): 4.493 4.493 4.122 90.00 90.00 90.00
Element x y z (fractional)
Sc1 0.500 0.000 0.000
Sc2 0.000 0.500 0.000
Au1 0.500 0.500 0.500
C1 0.000 0.000 0.000
Li1 0.000 0.000 0.500

Computed properties:
ρ: 6.10 g cm⁻³
E_tot: -5.8357 eV per atom

Material: LiTi2AuC
Method: DFT, GGA-PBE
State: relaxed

Lattice parameters (Å, degrees): 4.170 4.170 4.053 90.00 90.00 90.00
Element x y z (fractional)
Ti1 0.000 0.500 0.000
Ti2 0.500 0.000 0.000
Li1 0.000 0.000 0.500
Au1 0.500 0.500 0.500
C1 0.000 0.000 0.000

Computed properties:
ρ: 7.34 g cm⁻³
E_tot: -6.3814 eV per atom

Material: LiZr2AuC
Method: DFT, GGA-PBE
State: relaxed

Lattice parameters (Å, degrees): 4.539 4.539 4.052 90.00 90.00 90.00
Element x y z (fractional)
Au1 0.500 0.500 0.500
C1 0.000 0.000 0.000
Zr1 0.000 0.500 0.000
Zr2 0.500 0.000 0.000
Li1 0.000 0.000 0.500

Computed properties:
ρ: 7.92 g cm⁻³
E_tot: -6.6599 eV per atom

Material: Lu12Au3C5
Method: DFT, GGA-PBE
State: relaxed

Lattice parameters (Å, degrees): 13.216 13.216 13.216 109.47 109.47 109.47
Element x y z (fractional)
Lu1 0.414 0.297 0.318
Lu2 0.096 0.914 0.117
Lu3 0.914 0.818 0.797
Lu4 0.414 0.117 0.596
Lu5 0.318 0.797 0.414
Lu6 0.586 0.703 0.682
Lu7 0.914 0.096 0.617
Lu8 0.086 0.182 0.203
Lu9 0.479 0.682 0.096
Lu10 0.096 0.182 0.479
Lu11 0.521 0.318 0.904
Lu12 0.586 0.883 0.404
Lu13 0.021 0.404 0.818
Lu14 0.818 0.904 0.021
Lu15 0.117 0.703 0.521
Lu16 0.203 0.682 0.086
Lu17 0.117 0.414 0.096
Lu18 0.797 0.318 0.914
Lu19 0.904 0.086 0.883
Lu20 0.682 0.203 0.586
Lu21 0.297 0.883 0.979
Lu22 0.596 0.617 0.414
Lu23 0.203 0.521 0.617
Lu24 0.021 0.617 0.703
Lu25 0.297 0.414 0.818
Lu26 0.904 0.818 0.521
Lu27 0.404 0.021 0.318
Lu28 0.979 0.596 0.182
Lu29 0.596 0.979 0.682
Lu30 0.182 0.086 0.703
Lu31 0.182 0.096 0.979
Lu32 0.521 0.203 0.117
Lu33 0.617 0.021 0.203
Lu34 0.818 0.914 0.297
Lu35 0.682 0.479 0.596
Lu36 0.979 0.383 0.297
Lu37 0.703 0.117 0.021
Lu38 0.883 0.586 0.904
Lu39 0.318 0.521 0.404
Lu40 0.617 0.596 0.914
Lu41 0.383 0.404 0.086
Lu42 0.479 0.797 0.883
Lu43 0.086 0.904 0.383
Lu44 0.797 0.479 0.383
Lu45 0.703 0.586 0.182
Lu46 0.883 0.297 0.479
Lu47 0.404 0.383 0.586
Lu48 0.383 0.979 0.797
Au1 0.625 0.250 0.375
Au2 0.375 0.625 0.250
Au3 0.875 0.750 0.125
Au4 0.125 0.250 0.875
Au5 0.750 0.375 0.125
Au6 0.375 0.750 0.625
Au7 0.250 0.125 0.375
Au8 0.875 0.125 0.250
Au9 0.625 0.375 0.750
Au10 0.125 0.875 0.750
Au11 0.250 0.625 0.875
Au12 0.750 0.875 0.625
C1 0.000 0.500 0.000
C2 0.500 0.000 0.500
C3 0.125 0.750 0.375
C4 0.625 0.750 0.875
C5 0.500 0.500 0.000
C6 0.625 0.875 0.250
C7 0.250 0.375 0.625
C8 0.875 0.625 0.750
C9 0.375 0.125 0.750
C10 0.000 0.000 0.000
C11 0.500 0.000 0.000
C12 0.375 0.250 0.125
C13 0.250 0.875 0.125
C14 0.875 0.250 0.625
C15 0.750 0.125 0.875
C16 0.500 0.500 0.500
C17 0.750 0.625 0.375
C18 0.000 0.000 0.500
C19 0.125 0.375 0.250
C20 0.000 0.500 0.500

Computed properties:
ρ: 10.28 g cm⁻³
E_tot: -5.8686 eV per atom

Material: Lu3AuC
Method: DFT, GGA-PBE
State: relaxed

Lattice parameters (Å, degrees): 4.721 4.721 4.721 90.00 90.00 90.00
Last column: magnetic moment on the atom in μB.
Element x y z (fractional)
Lu1 0.500 0.000 0.000  0.14
Lu2 0.000 0.000 0.500  0.14
Lu3 0.000 0.500 0.000  0.14
C1 0.000 0.000 0.000  -0.01
Au1 0.500 0.500 0.500  0.06

Computed properties:
ρ: 11.58 g cm⁻³
E_tot: -5.7260 eV per atom

Material: MgAu2C
Method: DFT, GGA-PBE
State: relaxed

Lattice parameters (Å, degrees): 5.141 5.141 7.047 68.61 68.61 90.00
Element x y z (fractional)
Au1 0.245 0.625 0.250
Au2 0.505 0.125 0.250
Au3 0.875 0.755 0.750
Au4 0.375 0.495 0.750
C1 0.500 0.500 0.000
C2 0.250 0.750 0.500
Mg1 0.750 0.250 0.500
Mg2 0.000 0.000 0.000

Computed properties:
ρ: 8.96 g cm⁻³
E_tot: -3.7097 eV per atom
excess energy over the best structure of this formula in the dataset: 0 meV per atom

Material: MgAu2C
Method: DFT, GGA-PBE
State: relaxed

Lattice parameters (Å, degrees): 4.433 4.433 4.433 60.00 60.00 60.00
Element x y z (fractional)
Mg1 0.500 0.500 0.500
C1 0.000 0.000 0.000
Au1 0.750 0.750 0.750
Au2 0.250 0.250 0.250

Computed properties:
ρ: 11.60 g cm⁻³
E_tot: -3.3434 eV per atom
excess energy over the best structure of this formula in the dataset: 366 meV per atom

Material: Mg3AuC
Method: DFT, GGA-PBE
State: relaxed

Lattice parameters (Å, degrees): 5.056 5.056 5.056 90.00 90.00 90.00
Last column: magnetic moment on the atom in μB.
Element x y z (fractional)
Mg1 0.000 0.000 0.500  -0.03
Mg2 0.000 0.500 0.000  -0.02
Mg3 0.500 0.000 0.000  0.01
C1 0.500 0.500 0.500  0.85
Au1 0.000 0.000 0.000  -0.02

Computed properties:
ρ: 3.62 g cm⁻³
E_tot: -2.3397 eV per atom
excess energy over the best structure of this formula in the dataset: 1194 meV per atom

Material: Mg3AuC
Method: DFT, GGA-PBE
State: relaxed

Lattice parameters (Å, degrees): 4.373 4.373 4.373 90.00 90.00 90.00
Element x y z (fractional)
C1 0.000 0.000 0.000
Mg1 0.500 0.000 0.000
Mg2 0.000 0.500 0.000
Mg3 0.000 0.000 0.500
Au1 0.500 0.500 0.500

Computed properties:
ρ: 5.60 g cm⁻³
E_tot: -3.5340 eV per atom
excess energy over the best structure of this formula in the dataset: 0 meV per atom

Material: MgAu4C2
Method: DFT, GGA-PBE
State: relaxed

Lattice parameters (Å, degrees): 5.207 5.207 6.479 66.30 66.30 90.00
Element x y z (fractional)
Au1 0.000 0.500 0.000
Au2 0.248 0.248 0.504
Au3 0.752 0.752 0.496
Au4 0.500 0.000 0.000
C1 0.561 0.561 0.878
C2 0.439 0.439 0.122
Mg1 0.000 0.000 0.000

Computed properties:
ρ: 9.61 g cm⁻³
E_tot: -3.6930 eV per atom

Material: Mg2AuC
Method: DFT, GGA-PBE
State: relaxed

Lattice parameters (Å, degrees): 6.785 6.785 5.600 52.71 52.71 90.00
Element x y z (fractional)
Mg1 0.875 0.787 0.750
Mg2 0.375 0.463 0.750
Mg3 0.213 0.625 0.250
Mg4 0.537 0.125 0.250
C1 0.500 0.500 0.000
C2 0.250 0.750 0.500
Au1 0.750 0.250 0.500
Au2 0.000 0.000 0.000

Computed properties:
ρ: 6.44 g cm⁻³
E_tot: -3.4764 eV per atom

Material: MgMnAuC
Method: DFT, GGA-PBE
State: relaxed

Lattice parameters (Å, degrees): 2.765 2.758 13.918 90.00 100.07 90.00
Last column: magnetic moment on the atom in μB.
Element x y z (fractional)
Mg1 0.131 0.000 0.388  -0.01
Mg2 0.131 0.500 0.888  -0.01
Mn1 0.764 0.000 0.041  0.44
Mn2 0.764 0.500 0.541  0.44
C1 0.286 0.000 0.565  -0.05
C2 0.286 0.500 0.065  -0.05
Au1 0.497 0.500 0.237  0.00
Au2 0.497 0.000 0.737  0.00

Computed properties:
ρ: 9.16 g cm⁻³
E_tot: -5.6451 eV per atom
excess energy over the best structure of this formula in the dataset: 135 meV per atom

Material: MgMnAuC
Method: DFT, GGA-PBE
State: relaxed

Lattice parameters (Å, degrees): 7.018 3.045 5.259 90.00 104.52 90.00
Last column: magnetic moment on the atom in μB.
Element x y z (fractional)
C1 0.387 0.000 0.286  -0.11
C2 0.387 0.500 0.786  -0.11
Au1 0.933 0.500 0.302  0.00
Au2 0.933 0.000 0.802  0.00
Mn1 0.270 0.000 0.581  2.31
Mn2 0.270 0.500 0.081  2.31
Mg1 0.604 0.000 0.025  0.00
Mg2 0.604 0.500 0.525  0.00

Computed properties:
ρ: 8.80 g cm⁻³
E_tot: -5.7783 eV per atom
excess energy over the best structure of this formula in the dataset: 1 meV per atom

Material: MgMnAuC
Method: DFT, GGA-PBE
State: relaxed

Lattice parameters (Å, degrees): 3.042 3.042 6.735 90.00 90.00 120.00
Last column: magnetic moment on the atom in μB.
Element x y z (fractional)
Mn1 0.333 0.667 0.323  2.08
Mg1 0.667 0.333 0.989  0.00
Au1 0.000 0.000 0.658  0.00
C1 0.000 0.000 0.207  -0.10

Computed properties:
ρ: 8.87 g cm⁻³
E_tot: -5.7798 eV per atom
excess energy over the best structure of this formula in the dataset: 0 meV per atom